Record 1
Material: Zr3Cd
Method: DFT, GGA-PBEsol
State: optimized geometry

## Properties
For the magnetization, the calculation gives 0.0 μB per formula unit. The total energy comes out at -7.1246 eV/atom. As for the formation energy: -3 kJ/mol of formula units. The calculation puts the volume at 21.9 Å³ per atom.

Cell: 10.2281 10.2281 10.2281 Å, 17.83 17.83 17.83°
Closest atoms and distances in Å follow each position.
Atoms (fractional coordinates):
Zr: 0.0000 0.0000 0.0000  12 Zr 3.10-3.17
Zr: 0.2506 0.2506 0.2506  9 Zr 3.10-3.17, 3 Cd 3.13
Zr: 0.7494 0.7494 0.7494  9 Zr 3.10-3.17, 3 Cd 3.13
Cd: 0.5000 0.5000 0.5000  6 Zr 3.13, 6 Cd 3.17

Record 2
Material: Zr3Cd5
Method: DFT, GGA-PBEsol
State: optimized geometry

## Properties
For the magnetization, the calculation gives 0.0 μB per formula unit. The total energy comes out at -4.2730 eV/atom. As for the formation energy: -90 kJ/mol of formula units. The calculation puts the volume at 20.6 Å³ per atom.

Cell: 6.1692 6.1692 4.3200 Å, 90.00 90.00 90.61°
Closest atoms and distances in Å follow each position.
Atoms (fractional coordinates):
Zr: 0.0000 0.0000 0.0000  4 Zr 3.06, 8 Cd 3.06-3.08
Zr: 0.2472 0.7528 0.5000  2 Zr 3.06, 10 Cd 3.06-3.10
Zr: 0.7528 0.2472 0.5000  2 Zr 3.06, 10 Cd 3.06-3.10
Cd: 0.0000 0.5000 0.0000  6 Zr 3.06-3.08, 6 Cd 3.08
Cd: 0.2505 0.2505 0.5000  6 Cd 3.06-3.08, 6 Zr 3.06-3.10
Cd: 0.5000 0.0000 0.0000  6 Zr 3.06-3.08, 6 Cd 3.08
Cd: 0.5000 0.5000 0.0000  8 Cd 3.06-3.08, 4 Zr 3.10
Cd: 0.7495 0.7495 0.5000  6 Cd 3.06-3.08, 6 Zr 3.06-3.10

Which formula does entry 1 have? Zr3Cd